Lu2TlRu | Alexandria | GGA-PBE | relaxed; symmetry = R-3m, No. 166; distance to the lowest polymorph of the same formula = 214 meV/atom; energy relative to the elements = -1.06 eV per formula unit; VASP energy = -5.44 eV per atom; calculated volume = 95 Å³/cell
1.0
3.491 0.000 0.000
1.746 3.024 0.000
1.746 1.008 9.013
Tl Lu Ru
1 2 1
direct
0.500 0.500 0.500
0.264 0.264 0.208
0.736 0.736 0.792
0.000 0.000 0.000


TmLuTlRu | Alexandria | GGA-PBE | relaxed; symmetry = F-43m, No. 216; energy relative to the elements = -1.13 eV per formula unit; VASP energy = -5.44 eV per atom; calculated volume = 88 Å³/cell
1.0
4.997 0.000 0.000
2.499 4.328 0.000
2.499 1.443 4.080
Tm Ru Lu Tl
1 1 1 1
direct
0.000 0.000 0.000
0.750 0.750 0.750
0.500 0.500 0.500
0.250 0.250 0.250


Tm2LuRu | Alexandria | GGA-PBE | relaxed; symmetry = R-3m, No. 166; distance to the lowest polymorph of the same formula = 211 meV/atom; energy relative to the elements = -0.15 eV per formula unit; VASP energy = -5.72 eV per atom; calculated volume = 102 Å³/cell
1.0
-1.854 0.627 -2.855
-3.329 -0.936 -0.142
-4.352 8.683 2.634
Tm Lu Ru
2 1 1
direct
0.268 0.268 0.195
0.732 0.732 0.805
0.500 0.500 0.500
0.000 0.000 0.000